A relaxed K2CoTc crystal, computed with PBE.

```
8
Lattice="-8.8584 8.4253 1.3017 -2.1283 -4.0033 11.4278 -4.0118 3.6483 7.1442" Properties=species:S:1:pos:R:3 pbc="T T T"
K -5.2075 4.1576 3.7933
K -5.0384 0.9830 9.3260
K -7.5128 3.6723 12.1932
K -12.2383 7.3276 14.4350
Co -5.4934 2.2110 6.3648
Co -5.8167 0.9280 12.4684
Tc 0.0000 0.0000 0.0000
Tc -9.1818 7.1423 7.4053
```

Properties
Space group: I-42d
Density of states at the Fermi level (states/eV/atom): 1.046
Spin magnetization (μB/cell): 7.65
Polymorph energy (0 for the lowest one) (eV per atom): 0.462
Density (g cm⁻³): 2.3
E_form (eV/atom): 1.2315
V (A^3/atom): 41.7